[1]
# BaTl3N | Alexandria | PBE | relaxed
# Distance to the lowest polymorph of the same formula   0.000 eV per atom
# Crystal system   cubic
data_BaTl3N
_cell_length_a 5.271
_cell_length_b 5.271
_cell_length_c 5.271
_cell_angle_alpha 90.00
_cell_angle_beta 90.00
_cell_angle_gamma 90.00
_space_group_name_H-M_alt 'P m -3 m'
_space_group_IT_number 221
_space_group_name_Hall '-P 4 2 3'
loop_
_atom_site_label
_atom_site_fract_x
_atom_site_fract_y
_atom_site_fract_z
Ba1 0.000 0.000 0.000
Tl1 0.000 0.500 0.500
N1 0.500 0.500 0.500


[2]
# NaLa2UAs4 | Alexandria | PBE | relaxed
# E_form   -0.97 eV per atom
# Crystal system   monoclinic
data_NaLa2UAs4
_cell_length_a 7.315
_cell_length_b 4.293
_cell_length_c 7.372
_cell_angle_alpha 90.00
_cell_angle_beta 108.95
_cell_angle_gamma 90.00
_space_group_name_H-M_alt 'P 1 2/m 1'
_space_group_IT_number 10
_space_group_name_Hall '-P 2y'
loop_
_atom_site_label
_atom_site_fract_x
_atom_site_fract_y
_atom_site_fract_z
Na1 0.000 0.000 0.000
La1 0.500 0.000 0.500
La2 0.500 0.500 0.000
U1 0.000 0.500 0.500
As1 0.232 0.000 0.734
As2 0.235 0.500 0.270


[3]
# DyEr2Zr | Alexandria | PBE | relaxed
# E_form   0.21 eV per atom
# Distance to the lowest polymorph of the same formula   0.154 eV per atom
# Crystal system   cubic
data_DyEr2Zr
_cell_length_a 7.734
_cell_length_b 7.734
_cell_length_c 7.734
_cell_angle_alpha 90.00
_cell_angle_beta 90.00
_cell_angle_gamma 90.00
_space_group_name_H-M_alt 'F m -3 m'
_space_group_IT_number 225
_space_group_name_Hall '-F 4 2 3'
loop_
_atom_site_label
_atom_site_fract_x
_atom_site_fract_y
_atom_site_fract_z
Dy1 0.000 0.000 0.000
Er1 0.250 0.250 0.250
Zr1 0.000 0.000 0.500


[4]
# Hf2Ti2Ga | Alexandria | PBE | relaxed
# E_form   0.05 eV per atom
# Distance to the lowest polymorph of the same formula   0.141 eV per atom
# Crystal system   orthorhombic
data_Hf2Ti2Ga
_cell_length_a 3.975
_cell_length_b 6.271
_cell_length_c 7.841
_cell_angle_alpha 90.00
_cell_angle_beta 90.00
_cell_angle_gamma 90.00
_space_group_name_H-M_alt 'I m m m'
_space_group_IT_number 71
_space_group_name_Hall '-I 2 2'
loop_
_atom_site_label
_atom_site_fract_x
_atom_site_fract_y
_atom_site_fract_z
Hf1 0.000 0.000 0.203
Ti1 0.000 0.280 0.500
Ga1 0.000 0.500 0.000


[5]
# La3PmHg2 | Alexandria | PBE | relaxed
# E_form   -0.34 eV per atom
# Distance to the lowest polymorph of the same formula   0.000 eV per atom
# Crystal system   orthorhombic
data_La3PmHg2
_cell_length_a 5.412
_cell_length_b 9.860
_cell_length_c 7.109
_cell_angle_alpha 90.00
_cell_angle_beta 90.00
_cell_angle_gamma 90.00
_space_group_name_H-M_alt 'P m c 21'
_space_group_IT_number 26
_space_group_name_Hall 'P 2c -2'
loop_
_atom_site_label
_atom_site_fract_x
_atom_site_fract_y
_atom_site_fract_z
La1 0.000 0.058 0.000
La2 0.000 0.327 0.321
La3 0.500 0.174 0.696
Pm1 0.500 0.447 0.020
Hg1 0.000 0.353 0.780
Hg2 0.500 0.152 0.239


[6]
# TiGa | Alexandria | PBE | relaxed
# E_form   -0.21 eV per atom
# Crystal system   orthorhombic
data_TiGa
_cell_length_a 2.920
_cell_length_b 4.503
_cell_length_c 5.225
_cell_angle_alpha 90.00
_cell_angle_beta 90.00
_cell_angle_gamma 90.00
_space_group_name_H-M_alt 'I m m m'
_space_group_IT_number 71
_space_group_name_Hall '-I 2 2'
loop_
_atom_site_label
_atom_site_fract_x
_atom_site_fract_y
_atom_site_fract_z
Ti1 0.000 0.000 0.000
Ga1 0.000 0.000 0.500


[7]
# Pr6Tm3Sc | Alexandria | PBE | relaxed
# E_form   0.20 eV per atom
# Crystal system   trigonal
data_Pr6Tm3Sc
_cell_length_a 9.8976
_cell_length_b 9.8976
_cell_length_c 12.0375
_cell_angle_alpha 90.00
_cell_angle_beta 90.00
_cell_angle_gamma 120.00
_space_group_name_H-M_alt 'R -3'
_space_group_IT_number 148
_space_group_name_Hall '-R 3'
loop_
_atom_site_label
_atom_site_fract_x
_atom_site_fract_y
_atom_site_fract_z
Pr1 0.0001 0.3293 0.0827
Tm1 0.0000 0.0000 0.2456
Tm2 0.0000 0.0000 0.5000
Sc1 0.0000 0.0000 0.0000


[8]
# NaIn8Rh2 | Alexandria | PBE | relaxed
# E_form   -0.19 eV per atom
# Crystal system   monoclinic
data_NaIn8Rh2
_cell_length_a 8.609
_cell_length_b 12.064
_cell_length_c 5.210
_cell_angle_alpha 90.00
_cell_angle_beta 102.72
_cell_angle_gamma 90.00
_space_group_name_H-M_alt 'C 1 2/m 1'
_space_group_IT_number 12
_space_group_name_Hall '-C 2y'
loop_
_atom_site_label
_atom_site_fract_x
_atom_site_fract_y
_atom_site_fract_z
Na1 0.000 0.000 0.000
In1 0.000 0.269 0.000
In2 0.105 0.500 0.787
In3 0.204 0.124 0.585
Rh1 0.000 0.301 0.500


[9]
# CeMgZrNb | Alexandria | PBE | relaxed
# E_form   0.15 eV per atom
# Crystal system   cubic
data_CeMgZrNb
_cell_length_a 7.123
_cell_length_b 7.123
_cell_length_c 7.123
_cell_angle_alpha 90.00
_cell_angle_beta 90.00
_cell_angle_gamma 90.00
_space_group_name_H-M_alt 'F -4 3 m'
_space_group_IT_number 216
_space_group_name_Hall 'F -4 2 3'
loop_
_atom_site_label
_atom_site_fract_x
_atom_site_fract_y
_atom_site_fract_z
Ce1 0.000 0.000 0.000
Mg1 0.250 0.250 0.250
Zr1 0.000 0.000 0.500
Nb1 0.250 0.250 0.750


[10]
# ZrAg2SbH | Alexandria | PBE | relaxed
# Crystal system   tetragonal
# Total energy   -4.46 eV per atom
data_ZrAg2SbH
_cell_length_a 4.309
_cell_length_b 4.309
_cell_length_c 4.510
_cell_angle_alpha 90.00
_cell_angle_beta 90.00
_cell_angle_gamma 90.00
_space_group_name_H-M_alt 'P 4/m m m'
_space_group_IT_number 123
_space_group_name_Hall '-P 4 2'
loop_
_atom_site_label
_atom_site_fract_x
_atom_site_fract_y
_atom_site_fract_z
Zr1 0.000 0.000 0.000
Ag1 0.000 0.500 0.500
Sb1 0.500 0.500 0.000
H1 0.000 0.000 0.500


[11]
# SrThSc2 | Alexandria | PBE | relaxed
# E_form   0.15 eV per atom
# Crystal system   tetragonal
data_SrThSc2
_cell_length_a 3.592
_cell_length_b 3.592
_cell_length_c 9.930
_cell_angle_alpha 90.00
_cell_angle_beta 90.00
_cell_angle_gamma 90.00
_space_group_name_H-M_alt 'P 4/m m m'
_space_group_IT_number 123
_space_group_name_Hall '-P 4 2'
loop_
_atom_site_label
_atom_site_fract_x
_atom_site_fract_y
_atom_site_fract_z
Sr1 0.000 0.000 0.000
Th1 0.000 0.000 0.500
Sc1 0.500 0.500 0.286


[12]
# SnSeN2F | Alexandria | PBE | relaxed
# Distance to the lowest polymorph of the same formula   0.603 eV per atom
# Crystal system   tetragonal
data_SnSeN2F
_cell_length_a 4.106
_cell_length_b 4.106
_cell_length_c 5.664
_cell_angle_alpha 90.00
_cell_angle_beta 90.00
_cell_angle_gamma 90.00
_space_group_name_H-M_alt 'P 4/m m m'
_space_group_IT_number 123
_space_group_name_Hall '-P 4 2'
loop_
_atom_site_label
_atom_site_fract_x
_atom_site_fract_y
_atom_site_fract_z
Sn1 0.000 0.000 0.000
Se1 0.000 0.000 0.500
N1 0.000 0.500 0.000
F1 0.500 0.500 0.500


[13]
# ZnWS | Alexandria | PBE | relaxed
# Crystal system   orthorhombic
# Total energy   -6.16 eV per atom
data_ZnWS
_cell_length_a 12.551
_cell_length_b 3.036
_cell_length_c 5.263
_cell_angle_alpha 90.00
_cell_angle_beta 90.00
_cell_angle_gamma 90.00
_space_group_name_H-M_alt 'A m m 2'
_space_group_IT_number 38
_space_group_name_Hall 'A 2 -2'
loop_
_atom_site_label
_atom_site_fract_x
_atom_site_fract_y
_atom_site_fract_z
Zn1 0.165 0.000 0.000
W1 0.000 0.000 0.332
W2 0.500 0.000 0.320
S1 0.368 0.000 0.654


[14]
# YBeF | Alexandria | PBE | relaxed
# Crystal system   orthorhombic
# Total energy   -5.23 eV per atom
data_YBeF
_cell_length_a 8.506
_cell_length_b 3.708
_cell_length_c 6.907
_cell_angle_alpha 90.00
_cell_angle_beta 90.00
_cell_angle_gamma 90.00
_space_group_name_H-M_alt 'A m m 2'
_space_group_IT_number 38
_space_group_name_Hall 'A 2 -2'
loop_
_atom_site_label
_atom_site_fract_x
_atom_site_fract_y
_atom_site_fract_z
Y1 0.213 0.000 0.000
Be1 0.000 0.000 0.327
Be2 0.500 0.000 0.568
F1 0.344 0.000 0.682


[15]
# ZrMn2Tc | Alexandria | PBE | relaxed
# E_form   0.18 eV per atom
# Distance to the lowest polymorph of the same formula   0.157 eV per atom
# Crystal system   tetragonal
data_ZrMn2Tc
_cell_length_a 3.889
_cell_length_b 3.889
_cell_length_c 8.239
_cell_angle_alpha 90.00
_cell_angle_beta 90.00
_cell_angle_gamma 90.00
_space_group_name_H-M_alt 'I 4/m m m'
_space_group_IT_number 139
_space_group_name_Hall '-I 4 2'
loop_
_atom_site_label
_atom_site_fract_x
_atom_site_fract_y
_atom_site_fract_z
Zr1 0.000 0.000 0.000
Mn1 0.000 0.500 0.250
Tc1 0.000 0.000 0.500


[16]
# VFe3Co | Alexandria | PBE | relaxed
# E_form   0.98 eV per atom
# Distance to the lowest polymorph of the same formula   1.062 eV per atom
# Crystal system   cubic
data_VFe3Co
_cell_length_a 4.274
_cell_length_b 4.274
_cell_length_c 4.274
_cell_angle_alpha 90.00
_cell_angle_beta 90.00
_cell_angle_gamma 90.00
_space_group_name_H-M_alt 'P m -3 m'
_space_group_IT_number 221
_space_group_name_Hall '-P 4 2 3'
loop_
_atom_site_label
_atom_site_fract_x
_atom_site_fract_y
_atom_site_fract_z
V1 0.000 0.000 0.000
Fe1 0.000 0.500 0.500
Co1 0.500 0.500 0.500


[17]
# La3HoRh | Alexandria | PBE | relaxed
# E_form   -0.17 eV per atom
# Crystal system   cubic
data_La3HoRh
_cell_length_a 5.629
_cell_length_b 5.629
_cell_length_c 5.629
_cell_angle_alpha 90.00
_cell_angle_beta 90.00
_cell_angle_gamma 90.00
_space_group_name_H-M_alt 'P m -3 m'
_space_group_IT_number 221
_space_group_name_Hall '-P 4 2 3'
loop_
_atom_site_label
_atom_site_fract_x
_atom_site_fract_y
_atom_site_fract_z
La1 0.000 0.000 0.500
Ho1 0.500 0.500 0.500
Rh1 0.000 0.000 0.000


[18]
# Pm4Dy5Ho2 | Alexandria | PBE | relaxed
# E_form   0.11 eV per atom
# Distance to the lowest polymorph of the same formula   0.066 eV per atom
# Crystal system   monoclinic
data_Pm4Dy5Ho2
_cell_length_a 19.150
_cell_length_b 5.652
_cell_length_c 6.623
_cell_angle_alpha 90.00
_cell_angle_beta 91.01
_cell_angle_gamma 90.00
_space_group_name_H-M_alt 'C 1 2/m 1'
_space_group_IT_number 12
_space_group_name_Hall '-C 2y'
loop_
_atom_site_label
_atom_site_fract_x
_atom_site_fract_y
_atom_site_fract_z
Pm1 0.020 0.000 0.288
Pm2 0.195 0.500 0.073
Dy1 0.000 0.500 0.000
Dy2 0.130 0.000 0.893
Dy3 0.208 0.000 0.402
Ho1 0.098 0.500 0.553


[19]
# LiCd2Hg2 | Alexandria | PBE | relaxed
# E_form   0.01 eV per atom
# Distance to the lowest polymorph of the same formula   0.137 eV per atom
# Crystal system   tetragonal
data_LiCd2Hg2
_cell_length_a 4.258
_cell_length_b 4.258
_cell_length_c 14.128
_cell_angle_alpha 90.00
_cell_angle_beta 90.00
_cell_angle_gamma 90.00
_space_group_name_H-M_alt 'I 4/m m m'
_space_group_IT_number 139
_space_group_name_Hall '-I 4 2'
loop_
_atom_site_label
_atom_site_fract_x
_atom_site_fract_y
_atom_site_fract_z
Li1 0.000 0.000 0.000
Cd1 0.000 0.000 0.403
Hg1 0.000 0.500 0.250


[20]
# Nd2HoTh4 | Alexandria | PBE | relaxed
# E_form   0.07 eV per atom
# Crystal system   orthorhombic
data_Nd2HoTh4
_cell_length_a 3.582
_cell_length_b 36.426
_cell_length_c 3.586
_cell_angle_alpha 90.00
_cell_angle_beta 90.00
_cell_angle_gamma 90.00
_space_group_name_H-M_alt 'C m m m'
_space_group_IT_number 65
_space_group_name_Hall '-C 2 2'
loop_
_atom_site_label
_atom_site_fract_x
_atom_site_fract_y
_atom_site_fract_z
Nd1 0.000 0.206 0.000
Ho1 0.000 0.500 0.500
Th1 0.000 0.070 0.000
Th2 0.000 0.363 0.500